Here is a geometry-optimized LiTcOs2 structure from the Alexandria database. Energies are from GGA-PBEsol.

```
LiTcOs2
1.0
2.630 0.003 0.000
-0.506 4.854 0.000
-1.062 -2.428 4.241
Os Tc Li
2 1 1
direct
0.500 0.500 0.500
0.000 0.000 0.500
0.500 0.000 0.000
0.000 0.500 0.000
```

Energy of formation from the pure elements = 0.40 eV per atom
ρ = 14.9 g cm⁻³
Energy above the most stable polymorph in this dataset = 123 meV/atom
Symmetry = C2/m, No. 12